The following is a DFT calculation (PBE+U) of a geometry-optimized KSb2MoO8 structure.

Electronic total energy ... -72.17 eV for the cell shown

Cell lengths 4.974, 4.951, 6.482 Å; angles 90.00, 90.00, 86.53 degrees
Site moments in Bohr magnetons follow the coordinates.
Fractional positions:
Mo  0.000  0.000  0.000  0.93
O  0.665  0.674  0.500  0.00
O  0.307  0.302  0.000  -0.01
O  0.693  0.698  0.000  -0.01
O  0.335  0.326  0.500  0.00
O  0.791  0.214  0.203  0.02
O  0.209  0.785  0.203  0.02
O  0.209  0.786  0.797  0.02
O  0.791  0.215  0.797  0.02
Sb  0.500  0.500  0.750  0.00
Sb  0.500  0.500  0.250  0.00
K  0.000  0.000  0.500  0.00